This record from Alexandria via LeMat-Bulk describes crystalline Ir2Ru3Pt at its relaxed geometry. The functional is PBE.

Values from the calculation:
Its total energy is -8.602 eV/atom. The formation energy is -3 meV per atom. Its total magnetization is 0.00 μB/cell.

abc: 3.871 3.852 6.092
angles: 108.43 90.00 90.00
Fractional coordinates of all 6 atoms:
Ir  0.000  0.671  0.341
Ir  0.000  0.329  0.659
Ru  0.500  0.168  0.337
Ru  0.500  0.500  0.000
Ru  0.500  0.832  0.663
Pt  0.000  0.000  0.000


This record from Alexandria via LeMat-Bulk describes crystalline La3BiIr at its relaxed geometry. The functional is PBE.

Values from the calculation:
Its total energy is -6.051 eV/atom. The formation energy is -546 meV per atom. Its total magnetization is 0.00 μB/cell.

abc: 10.271 10.271 10.271
angles: 60.00 60.00 60.00
Fractional coordinates of all 20 atoms:
Ir  0.125  0.125  0.125
Ir  0.125  0.625  0.125
Ir  0.625  0.125  0.125
Ir  0.125  0.125  0.625
Bi  0.625  0.625  0.625
Bi  0.625  0.125  0.625
Bi  0.125  0.625  0.625
Bi  0.625  0.625  0.125
La  0.786  0.214  0.214
La  0.036  0.464  0.464
La  0.464  0.464  0.036
La  0.464  0.036  0.036
La  0.036  0.464  0.036
La  0.786  0.214  0.786
La  0.464  0.036  0.464
La  0.036  0.036  0.464
La  0.214  0.786  0.214
La  0.214  0.786  0.786
La  0.214  0.214  0.786
La  0.786  0.786  0.214


This record from Alexandria via LeMat-Bulk describes crystalline BeFeAu2 at its relaxed geometry. The functional is PBE.

Values from the calculation:
Its total energy is -4.438 eV/atom. The formation energy is 248 meV per atom. Its total magnetization is 3.01 μB/cell.

abc: 4.377 4.377 4.377
angles: 60.00 60.00 60.00
Site moments in Bohr magnetons follow the coordinates.
Fractional coordinates of all 4 atoms:
Be  0.500  0.500  0.500  -0.04
Au  0.000  0.000  0.000  0.07
Au  0.250  0.250  0.250  0.03
Fe  0.750  0.750  0.750  2.92


This record from Alexandria via LeMat-Bulk describes crystalline NdEr7Tl5 at its relaxed geometry. The functional is PBE.

Values from the calculation:
Its total energy is -3.876 eV/atom. The formation energy is -142 meV per atom. Its total magnetization is 1.00 μB/cell.

abc: 6.469 8.302 8.302
angles: 81.59 67.07 67.07
Site moments in Bohr magnetons follow the coordinates.
Fractional coordinates of all 13 atoms:
Nd  0.989  0.011  0.011  0.20
Er  0.640  0.360  0.360  0.11
Er  0.329  0.671  0.671  0.10
Er  0.996  0.347  0.661  0.06
Er  0.996  0.661  0.347  0.06
Er  0.271  0.229  0.229  0.03
Er  0.512  0.789  0.188  0.05
Er  0.512  0.188  0.789  0.05
Tl  0.505  0.005  0.484  0.00
Tl  0.007  0.005  0.484  0.00
Tl  0.505  0.484  0.005  0.00
Tl  0.007  0.484  0.005  0.00
Tl  0.732  0.768  0.768  0.00


This record from Alexandria via LeMat-Bulk describes crystalline CaScSb2 at its relaxed geometry. The functional is PBE.

Values from the calculation:
Its total energy is -4.538 eV/atom. Its total magnetization is 0.00 μB/cell. The energy relative to the elements, uncorrected comes out at -37.94 kJ per mole of atoms.

abc: 6.135 6.135 9.241
angles: 70.61 70.61 90.00
Fractional coordinates of all 8 atoms:
Sc  0.000  0.000  0.000
Sc  0.750  0.250  0.500
Sb  0.679  0.125  0.250
Sb  0.071  0.625  0.250
Sb  0.375  0.321  0.750
Sb  0.875  0.929  0.750
Ca  0.500  0.500  0.000
Ca  0.250  0.750  0.500


This record from Alexandria via LeMat-Bulk describes crystalline Sm6TlIn5 at its relaxed geometry. The functional is PBE.

Values from the calculation:
Its total energy is -4.003 eV/atom. The formation energy is -305 meV per atom. Its total magnetization is 0.00 μB/cell.

abc: 6.647 9.930 7.562
angles: 48.96 81.69 77.29
Fractional coordinates of all 12 atoms:
Sm  0.750  0.082  0.335
Sm  0.250  0.583  0.335
Sm  0.255  0.248  0.000
Sm  0.745  0.752  0.000
Sm  0.750  0.417  0.665
Sm  0.250  0.918  0.665
Tl  0.000  0.000  0.000
In  0.500  0.170  0.661
In  0.000  0.337  0.327
In  0.500  0.500  0.000
In  0.000  0.663  0.673
In  0.500  0.830  0.339


This record from Alexandria via LeMat-Bulk describes crystalline Mg2PdRh2 at its relaxed geometry. The functional is PBE.

Values from the calculation:
Its total energy is -4.364 eV/atom. The formation energy is 253 meV per atom. Its total magnetization is 0.00 μB/cell.

abc: 3.754 3.754 6.663
angles: 73.64 73.64 90.00
Fractional coordinates of all 5 atoms:
Mg  0.750  0.250  0.500
Mg  0.250  0.750  0.500
Rh  0.399  0.399  0.202
Rh  0.601  0.601  0.798
Pd  0.000  0.000  0.000


This record from Alexandria via LeMat-Bulk describes crystalline Na2SnF4 at its relaxed geometry. The functional is PBE.

Values from the calculation:
Its total energy is -4.346 eV/atom. Its total magnetization is 0.00 μB/cell. The energy relative to the elements, uncorrected comes out at -224.57 kJ per mole of atoms.

abc: 4.697 4.697 7.026
angles: 70.47 70.47 90.00
Fractional coordinates of all 7 atoms:
Na  0.643  0.643  0.715
Na  0.357  0.357  0.285
Sn  0.000  0.000  0.000
F  0.814  0.814  0.372
F  0.186  0.186  0.628
F  0.000  0.500  0.000
F  0.500  0.000  0.000